A plane-wave DFT calculation with GGA-PBE was carried out for Pr2DyYTm5 after structural relaxation.

abc: 8.590 8.590 15.604
angles: 90.00 90.00 90.00
Space group I4/mcm (No. 140)
Asymmetric unit:
Pr (0.118, 0.382, 0.000) [8 per cell]
Dy (0.000, 0.500, 0.250) [4 per cell]
Y (0.000, 0.000, 0.250) [4 per cell]
Tm (0.000, 0.000, 0.000) [4 per cell]
Tm (0.213, 0.287, 0.359) [16 per cell]

Output
For the volume, the calculation gives 31.98 A^3/atom. The calculation puts the uncorrected energy at -162.28 eV/cell. As for the crystal system: tetragonal. The formation energy is 0.2682 eV/atom. For the magnetic moment, the calculation gives 0.000 μB/f.u.